[1]
Density functional theory data (PBE) for a relaxed CaVP2 crystal.

Lattice parameters (Å, degrees): 4.5941 4.5941 4.5941 60.00 60.00 60.00
Last column: magnetic moment on the atom in μB.
Positions (direct):
P: 0.2500 0.2500 0.2500  -0.11
V: 0.5000 0.5000 0.5000  1.96
P: 0.7500 0.7500 0.7500  -0.11
Ca: 0.0000 0.0000 0.0000  0.02

Values from the calculation:
Total magnetization = 0.51 μB/atom
Formation energy = -332.4 meV per atom
E above lowest polymorph = 16.9 kJ per mole of atoms



[2]
Density functional theory data (PBE) for a relaxed CaVP3 crystal.

Lattice parameters (Å, degrees): 4.6043 4.6043 4.6043 90.00 90.00 90.00
Positions (direct):
P: 0.0000 0.5000 0.0000
P: 0.5000 0.0000 0.0000
V: 0.0000 0.0000 0.0000
Ca: 0.5000 0.5000 0.5000
P: 0.0000 0.0000 0.5000

Values from the calculation:
Total magnetization = 0.00 μB/atom
Formation energy = -358.8 meV per atom
E above lowest polymorph = 0.0 kJ per mole of atoms